Entry 1:
## LaAg2W (GGA-PBE)

Data for LaAg2W after structural relaxation.

Calculated values
The energy of formation is 0.547 eV/atom. The value obtained for the distance to the lowest polymorph of the same formula is 112.9 meV/atom.

Structure (POSCAR):
```
LaAg2W
1.0
-1.522 -0.140 -5.942
2.894 -3.482 -4.141
-3.252 0.443 5.184
Ag W La
2 1 1
Direct
0.028 0.028 0.000 Ag
0.472 0.472 0.000 Ag
0.250 0.750 0.500 W
0.750 0.250 0.500 La
```

***

Entry 2:
## La2AgW (GGA-PBE)

Data for La2AgW after structural relaxation.

Calculated values
The energy of formation is 0.403 eV/atom. The value obtained for the distance to the lowest polymorph of the same formula is 91.7 meV/atom.

Structure (POSCAR):
```
La2AgW
1.0
-3.672 0.024 3.723
-4.890 -1.462 -1.141
-1.878 -4.517 1.850
Ag W La
1 1 2
Direct
0.000 0.000 0.000 Ag
0.500 0.500 0.500 W
0.250 0.250 0.250 La
0.750 0.750 0.750 La
```

***

Looking at calculated volume for the records above, in order, we have 85; 101 Å³ per cell.